An optimized crystal structure of La2FeAs2O, computed with GGA+U.

Cell lengths 3.357, 3.357, 15.233 Å; angles 90.00, 90.00, 90.00 degrees
Space group P4/mmm (No. 123)
Inequivalent atoms, fractional coordinates:
La (0.000, 0.000, 0.138) [2 per cell]
Fe (0.000, 0.000, 0.500) [1 per cell]
As (0.000, 0.000, 0.338) [2 per cell]
O (0.000, 0.000, 0.000) [1 per cell]

Results
Crystal system = tetragonal
Total DFT energy (no corrections) = -5.1965 eV per atom